1.
# BaTc3Pb PBE optimized geometry
# E_tot ... -5.536 eV per atom
# ΔH_f (0 K) ... 1.8099 eV per atom
# Total magnetization ... 6.83 μB per formula unit
# Mass density ... 7.46 g/cm³
# Energy relative to the lowest polymorph listed for this composition ... 0.0 meV per atom
# Crystal system ... cubic
data_BaTc3Pb
_chemical_formula_sum 'Ba1 Tc3 Pb1'
_symmetry_space_group_name_H-M 'P m -3 m'
_symmetry_Int_Tables_number 221
_symmetry_space_group_name_Hall '-P 4 2 3'
_cell_length_a 5.2183
_cell_length_b 5.2183
_cell_length_c 5.2183
_cell_angle_alpha 90.00
_cell_angle_beta 90.00
_cell_angle_gamma 90.00
loop_
_atom_site_label
_atom_site_type_symbol
_atom_site_fract_x
_atom_site_fract_y
_atom_site_fract_z
Ba1 Ba 0.0000 0.0000 0.0000
Tc1 Tc 0.0000 0.5000 0.5000
Pb1 Pb 0.5000 0.5000 0.5000

=====

2.
# AlCrIn2 PBE optimized geometry
# E_tot ... -4.525 eV per atom
# ΔH_f (0 K) ... 0.1859 eV per atom
# Total magnetization ... 2.94 μB per formula unit
# Mass density ... 6.34 g/cm³
# Crystal system ... tetragonal
data_AlCrIn2
_chemical_formula_sum 'Al1 Cr1 In2'
_symmetry_space_group_name_H-M 'P 4 m m'
_symmetry_Int_Tables_number 99
_cell_length_a 3.0590
_cell_length_b 3.0590
_cell_length_c 8.6365
_cell_angle_alpha 90.00
_cell_angle_beta 90.00
_cell_angle_gamma 90.00
loop_
_symmetry_equiv_pos_as_xyz
'x,y,z'
'-y,x,z'
'-x,-y,z'
'y,-x,z'
'-x,y,z'
'y,x,z'
'x,-y,z'
'-y,-x,z'
loop_
_atom_site_label
_atom_site_type_symbol
_atom_site_fract_x
_atom_site_fract_y
_atom_site_fract_z
Al1 Al 0.0000 0.0000 0.0000
Cr1 Cr 0.5000 0.5000 0.1723
In1 In 0.0000 0.0000 0.3949
In2 In 0.5000 0.5000 0.7179

=====

3.
# FeSi3Cl PBE optimized geometry
# E_tot ... -3.863 eV per atom
# Total magnetization ... 3.08 μB per formula unit
# Mass density ... 2.95 g/cm³
# Energy relative to the lowest polymorph listed for this composition ... 1443.9 meV per atom
# Uncorrected formation energy ... 1453 meV per atom
# Crystal system ... cubic
data_FeSi3Cl
_chemical_formula_sum 'Fe1 Si3 Cl1'
_symmetry_space_group_name_H-M 'P m -3 m'
_symmetry_Int_Tables_number 221
_symmetry_space_group_name_Hall '-P 4 2 3'
_cell_length_a 4.6216
_cell_length_b 4.6216
_cell_length_c 4.6216
_cell_angle_alpha 90.00
_cell_angle_beta 90.00
_cell_angle_gamma 90.00
loop_
_atom_site_label
_atom_site_type_symbol
_atom_site_fract_x
_atom_site_fract_y
_atom_site_fract_z
Fe1 Fe 0.0000 0.0000 0.0000
Si1 Si 0.0000 0.5000 0.5000
Cl1 Cl 0.5000 0.5000 0.5000

=====

4.
# VGa2Pd9 PBE optimized geometry
# E_tot ... -5.572 eV per atom
# ΔH_f (0 K) ... -0.4133 eV per atom
# Total magnetization ... 0.00 μB per formula unit
# Mass density ... 10.63 g/cm³
# Crystal system ... tetragonal
data_VGa2Pd9
_chemical_formula_sum 'V1 Ga2 Pd9'
_symmetry_space_group_name_H-M 'P 4/m m m'
_symmetry_Int_Tables_number 123
_symmetry_space_group_name_Hall '-P 4 2'
_cell_length_a 3.9065
_cell_length_b 3.9065
_cell_length_c 11.7521
_cell_angle_alpha 90.00
_cell_angle_beta 90.00
_cell_angle_gamma 90.00
loop_
_atom_site_label
_atom_site_type_symbol
_atom_site_fract_x
_atom_site_fract_y
_atom_site_fract_z
V1 V 0.0000 0.0000 0.0000
Ga1 Ga 0.0000 0.0000 0.3377
Pd1 Pd 0.0000 0.5000 0.1605
Pd2 Pd 0.0000 0.5000 0.5000
Pd3 Pd 0.5000 0.5000 0.0000
Pd4 Pd 0.5000 0.5000 0.3304

=====

5.
# TiSnBr2 PBE optimized geometry
# E_tot ... -4.405 eV per atom
# Total magnetization ... 0.00 μB per formula unit
# Mass density ... 4.91 g/cm³
# Energy relative to the lowest polymorph listed for this composition ... 0.0 meV per atom
# Uncorrected formation energy ... -594 meV per atom
# Crystal system ... trigonal
data_TiSnBr2
_chemical_formula_sum 'Ti3 Sn3 Br6'
_symmetry_space_group_name_H-M 'R -3 m'
_symmetry_Int_Tables_number 166
_symmetry_space_group_name_Hall '-R 3 2"'
_cell_length_a 3.3886
_cell_length_b 3.3886
_cell_length_c 33.3262
_cell_angle_alpha 90.00
_cell_angle_beta 90.00
_cell_angle_gamma 120.00
loop_
_atom_site_label
_atom_site_type_symbol
_atom_site_fract_x
_atom_site_fract_y
_atom_site_fract_z
Ti1 Ti 0.0000 0.0000 0.0000
Sn1 Sn 0.0000 0.0000 0.5000
Br1 Br 0.0000 0.0000 0.3854

=====

6.
# NaInTe2 PBE optimized geometry
# E_tot ... -2.965 eV per atom
# Total magnetization ... 0.00 μB per formula unit
# Mass density ... 5.38 g/cm³
# Uncorrected formation energy ... -380 meV per atom
# Crystal system ... orthorhombic
data_NaInTe2
_chemical_formula_sum 'Na4 In4 Te8'
_symmetry_space_group_name_H-M 'C m c m'
_symmetry_Int_Tables_number 63
_symmetry_space_group_name_Hall '-C 2c 2'
_cell_length_a 3.1212
_cell_length_b 25.1632
_cell_length_c 6.1747
_cell_angle_alpha 90.00
_cell_angle_beta 90.00
_cell_angle_gamma 90.00
loop_
_atom_site_label
_atom_site_type_symbol
_atom_site_fract_x
_atom_site_fract_y
_atom_site_fract_z
Na1 Na 0.0000 0.1824 0.2500
In1 In 0.0000 0.4353 0.2500
Te1 Te 0.0000 0.3102 0.2500
Te2 Te 0.0000 0.4360 0.7500

=====

| no. | DOS at the Fermi energy (states/eV/f.u.) |
| --- | --- |
| 1 | 2.170 |
| 2 | 1.882 |
| 3 | 2.470 |
| 4 | 4.855 |
| 5 | 2.003 |
| 6 | 1.664 |